DFT (PBE) results for a geometry-optimized ZrAgAs2Br structure.

a = 4.8376 Å, b = 4.8376 Å, c = 5.6750 Å
α = 90.00°, β = 90.00°, γ = 90.00°
Closest atoms and distances in Å follow each position.
Sites, in units of the cell vectors:
Zr: 0.0000 0.0000 0.0000  2 Ag 2.84
Ag: 0.0000 0.0000 0.5000  4 As 2.42
As: 0.0000 0.5000 0.5000  2 Ag 2.42
As: 0.5000 0.0000 0.5000  2 Ag 2.42
Br: 0.5000 0.5000 0.0000  4 Zr 3.42, 8 As 3.73

Properties
- relative energy among the computed polymorphs (eV/atom) = 0.617
- formation energy (no corrections) (meV/atom) = 714
- crystal system = tetragonal
- total DFT energy (no corrections) (eV for the cell shown) = -18.80